This record from the Alexandria database describes an optimized crystal structure of Sm6NiRh5. The functional is PBE-GGA.

Structure (CIF):
```
data_Sm6NiRh5
_symmetry_space_group_name_H-M 'P 1'
_symmetry_Int_Tables_number 1
_cell_length_a 4.932
_cell_length_b 7.035
_cell_length_c 7.806
_cell_angle_alpha 90.00
_cell_angle_beta 108.62
_cell_angle_gamma 90.00
loop_
_symmetry_equiv_pos_as_xyz
'x,y,z'
loop_
_atom_site_label
_atom_site_fract_x
_atom_site_fract_y
_atom_site_fract_z
_atom_site_occupancy
Rh1 0.000 0.500 0.000 1
Rh2 0.667 0.500 0.335 1
Rh3 0.335 0.000 0.667 1
Rh4 0.333 0.500 0.665 1
Rh5 0.665 0.000 0.333 1
Sm1 0.834 0.249 0.668 1
Sm2 0.500 0.249 0.000 1
Sm3 0.166 0.751 0.332 1
Sm4 0.166 0.249 0.333 1
Sm5 0.500 0.751 0.000 1
Sm6 0.834 0.751 0.667 1
Ni1 0.000 0.000 0.000 1
```

Density   9.546 g/cm³
Energy of formation from the pure elements   -0.652 eV per atom
Total magnetic moment   0.00 Bohr magnetons per cell

=====

This record from the Alexandria database describes an optimized crystal structure of K2BaCa. The functional is PBE-GGA.

Structure (CIF):
```
data_K2BaCa
_symmetry_space_group_name_H-M 'P 1'
_symmetry_Int_Tables_number 1
_cell_length_a 4.246
_cell_length_b 4.246
_cell_length_c 13.530
_cell_angle_alpha 90.00
_cell_angle_beta 90.00
_cell_angle_gamma 90.00
loop_
_symmetry_equiv_pos_as_xyz
'x,y,z'
loop_
_atom_site_label
_atom_site_fract_x
_atom_site_fract_y
_atom_site_fract_z
_atom_site_occupancy
K1 0.500 0.500 0.254 1
K2 0.000 0.000 0.979 1
Ba1 0.000 0.000 0.524 1
Ca1 0.500 0.500 0.744 1
```

Density   1.740 g/cm³
Energy above the most stable polymorph in this dataset   0.005 eV per atom
Energy of formation from the pure elements   0.090 eV per atom
Total magnetic moment   0.00 Bohr magnetons per cell

=====

This record from the Alexandria database describes an optimized crystal structure of LaDyZnPb. The functional is PBE-GGA.

Structure (CIF):
```
data_LaDyZnPb
_symmetry_space_group_name_H-M 'P 1'
_symmetry_Int_Tables_number 1
_cell_length_a 5.383
_cell_length_b 5.383
_cell_length_c 5.383
_cell_angle_alpha 60.00
_cell_angle_beta 60.00
_cell_angle_gamma 60.00
loop_
_symmetry_equiv_pos_as_xyz
'x,y,z'
loop_
_atom_site_label
_atom_site_fract_x
_atom_site_fract_y
_atom_site_fract_z
_atom_site_occupancy
Zn1 0.000 0.000 0.000 1
Dy1 0.250 0.250 0.250 1
Pb1 0.500 0.500 0.500 1
La1 0.750 0.750 0.750 1
```

Density   8.641 g/cm³
Energy of formation from the pure elements   -0.403 eV per atom
Total magnetic moment   0.00 Bohr magnetons per cell

=====

This record from the Alexandria database describes an optimized crystal structure of NaLaSiO4. The functional is PBE-GGA.

Structure (CIF):
```
data_NaLaSiO4
_symmetry_space_group_name_H-M 'P 1'
_symmetry_Int_Tables_number 1
_cell_length_a 5.520
_cell_length_b 5.815
_cell_length_c 6.577
_cell_angle_alpha 90.00
_cell_angle_beta 110.54
_cell_angle_gamma 90.00
loop_
_symmetry_equiv_pos_as_xyz
'x,y,z'
loop_
_atom_site_label
_atom_site_fract_x
_atom_site_fract_y
_atom_site_fract_z
_atom_site_occupancy
O1 0.576 0.250 0.426 1
O2 0.929 0.029 0.765 1
O3 0.929 0.471 0.765 1
O4 0.071 0.971 0.235 1
O5 0.536 0.250 0.835 1
O6 0.071 0.529 0.235 1
O7 0.424 0.750 0.574 1
O8 0.464 0.750 0.165 1
La1 0.720 0.750 0.931 1
La2 0.280 0.250 0.069 1
Na1 0.856 0.750 0.487 1
Na2 0.144 0.250 0.513 1
Si1 0.726 0.250 0.687 1
Si2 0.274 0.750 0.313 1
```

Density   4.267 g/cm³
Energy above the most stable polymorph in this dataset   0.047 eV per atom
Raw formation energy   -2877.5 meV/atom
Total magnetic moment   0.00 Bohr magnetons per cell

=====

This record from the Alexandria database describes an optimized crystal structure of Pu3In2Hg7. The functional is PBE-GGA.

Structure (CIF):
```
data_Pu3In2Hg7
_symmetry_space_group_name_H-M 'P 1'
_symmetry_Int_Tables_number 1
_cell_length_a 4.454
_cell_length_b 4.933
_cell_length_c 15.477
_cell_angle_alpha 99.17
_cell_angle_beta 90.00
_cell_angle_gamma 90.00
loop_
_symmetry_equiv_pos_as_xyz
'x,y,z'
loop_
_atom_site_label
_atom_site_fract_x
_atom_site_fract_y
_atom_site_fract_z
_atom_site_occupancy
In1 0.000 0.842 0.683 1
In2 0.000 0.158 0.317 1
Hg1 0.500 0.079 0.159 1
Hg2 0.000 0.274 0.549 1
Hg3 0.500 0.921 0.841 1
Hg4 0.000 0.726 0.451 1
Hg5 0.000 0.577 0.154 1
Hg6 0.000 0.000 0.000 1
Hg7 0.000 0.423 0.846 1
Pu1 0.500 0.652 0.305 1
Pu2 0.500 0.500 0.000 1
Pu3 0.500 0.348 0.695 1
```

Density   11.702 g/cm³
Energy of formation from the pure elements   0.000 eV per atom
Total magnetic moment   18.69 Bohr magnetons per cell

=====

This record from the Alexandria database describes an optimized crystal structure of KTiCrH. The functional is PBE-GGA.

Structure (CIF):
```
data_KTiCrH
_symmetry_space_group_name_H-M 'P 1'
_symmetry_Int_Tables_number 1
_cell_length_a 3.034
_cell_length_b 4.018
_cell_length_c 6.462
_cell_angle_alpha 90.42
_cell_angle_beta 90.10
_cell_angle_gamma 90.23
loop_
_symmetry_equiv_pos_as_xyz
'x,y,z'
loop_
_atom_site_label
_atom_site_fract_x
_atom_site_fract_y
_atom_site_fract_z
_atom_site_occupancy
Ti1 0.373 0.599 0.387 1
Cr1 0.872 0.105 0.391 1
H1 0.873 0.464 0.575 1
K1 0.363 0.098 0.893 1
```

Density   2.951 g/cm³
Energy above the most stable polymorph in this dataset   0.031 eV per atom
Total magnetic moment   1.71 Bohr magnetons per cell

=====

| no. | Fermi-level density of states (states/eV/cell) |
| --- | --- |
| 1 | 6.97 |
| 2 | 5.32 |
| 3 | 3.17 |
| 4 | 0.00 |
| 5 | 41.56 |
| 6 | 3.09 |